A geometry-optimized CoHF4 structure, computed with PBE with a Hubbard U.

abc: 6.779 6.779 5.070
angles: 97.97 97.97 136.23
Positions (direct):
Co 0.069 0.931 0.750
Co 0.931 0.069 0.250
H 0.330 0.670 0.250
H 0.670 0.330 0.750
F 0.090 0.440 0.227
F 0.166 0.263 0.636
F 0.263 0.166 0.136
F 0.440 0.090 0.727
F 0.560 0.910 0.273
F 0.737 0.834 0.864
F 0.834 0.737 0.364
F 0.910 0.560 0.773

Values from the calculation:
* E_tot: -4.4316 eV per atom
* total magnetization: 8.0 Bohr magnetons per cell

=====

A geometry-optimized CoHF3 structure, computed with PBE with a Hubbard U.

abc: 5.605 5.352 7.395
angles: 90.00 91.42 90.00
Positions (direct):
Co 0.101 0.242 0.412
Co 0.101 0.258 0.912
Co 0.899 0.742 0.088
Co 0.899 0.758 0.588
H 0.415 0.711 0.096
H 0.415 0.789 0.596
H 0.585 0.211 0.404
H 0.585 0.289 0.904
F 0.063 0.082 0.161
F 0.063 0.418 0.661
F 0.225 0.582 0.038
F 0.225 0.918 0.538
F 0.448 0.177 0.855
F 0.448 0.323 0.355
F 0.552 0.677 0.645
F 0.552 0.823 0.145
F 0.775 0.082 0.462
F 0.775 0.418 0.962
F 0.937 0.582 0.339
F 0.937 0.918 0.839

Values from the calculation:
* E_tot: -4.7089 eV per atom
* ΔE to the lowest computed polymorph: 0 meV per atom
* total magnetization: 12.0 Bohr magnetons per cell

=====

A geometry-optimized CoHF3 structure, computed with PBE with a Hubbard U.

abc: 3.434 3.434 3.434
angles: 90.00 90.00 90.00
Positions (direct):
Co 0.000 0.000 0.000
H 0.500 0.500 0.500
F 0.000 0.500 0.500
F 0.500 0.000 0.500
F 0.500 0.500 0.000

Values from the calculation:
* E_tot: -3.8572 eV per atom
* ΔE to the lowest computed polymorph: 852 meV per atom
* total magnetization: 3.0 Bohr magnetons per cell

=====

A geometry-optimized CoH3F structure, computed with PBE with a Hubbard U.

abc: 3.354 3.354 3.354
angles: 90.00 90.00 90.00
Positions (direct):
Co 0.000 0.000 0.000
H 0.000 0.500 0.500
H 0.500 0.000 0.500
H 0.500 0.500 0.000
F 0.500 0.500 0.500

Values from the calculation:
* E_tot: -2.3626 eV per atom
* total magnetization: 0.8 Bohr magnetons per cell

=====

A geometry-optimized Co3HF structure, computed with PBE with a Hubbard U.

abc: 3.747 3.747 3.747
angles: 90.00 90.00 90.00
Positions (direct):
Co 0.000 0.000 0.500
Co 0.000 0.500 0.000
Co 0.500 0.000 0.000
H 0.000 0.000 0.000
F 0.500 0.500 0.500

Values from the calculation:
* E_tot: -4.0240 eV per atom
* ΔE to the lowest computed polymorph: 0 meV per atom
* total magnetization: 5.7 Bohr magnetons per cell

=====

A geometry-optimized Co2H3F6 structure, computed with PBE with a Hubbard U.

abc: 5.721 5.721 9.776
angles: 107.69 107.69 60.18
Positions (direct):
Co 0.165 0.667 0.997
Co 0.333 0.835 0.503
Co 0.667 0.165 0.497
Co 0.835 0.333 0.003
H 0.066 0.934 0.750
H 0.256 0.431 0.249
H 0.431 0.256 0.749
H 0.569 0.744 0.251
H 0.744 0.569 0.751
H 0.934 0.066 0.250
F 0.040 0.915 0.627
F 0.085 0.960 0.873
F 0.177 0.411 0.125
F 0.333 0.458 0.373
F 0.411 0.177 0.625
F 0.458 0.333 0.873
F 0.542 0.667 0.127
F 0.589 0.823 0.375
F 0.667 0.542 0.627
F 0.823 0.589 0.875
F 0.915 0.040 0.127
F 0.960 0.085 0.373

Values from the calculation:
* E_tot: -4.4848 eV per atom
* total magnetization: 10.0 Bohr magnetons per cell

=====

A geometry-optimized CoH2F8 structure, computed with PBE with a Hubbard U.

abc: 5.227 5.227 7.095
angles: 99.86 99.86 61.14
Positions (direct):
Co 0.000 0.000 0.000
H 0.235 0.235 0.820
H 0.765 0.765 0.180
F 0.118 0.646 0.877
F 0.126 0.126 0.776
F 0.354 0.882 0.123
F 0.480 0.480 0.593
F 0.520 0.520 0.407
F 0.646 0.118 0.877
F 0.874 0.874 0.224
F 0.882 0.354 0.123

Values from the calculation:
* E_tot: -3.6604 eV per atom
* total magnetization: 3.1 Bohr magnetons per cell

=====

A geometry-optimized CoHgH2F8 structure, computed with PBE with a Hubbard U.

abc: 5.042 5.055 6.574
angles: 84.44 83.80 67.81
Positions (direct):
Co 0.000 0.000 0.000
Hg 0.000 0.000 0.500
H 0.270 0.271 0.729
H 0.730 0.729 0.271
F 0.212 0.772 0.797
F 0.215 0.215 0.948
F 0.229 0.790 0.200
F 0.287 0.287 0.576
F 0.713 0.713 0.424
F 0.771 0.210 0.800
F 0.785 0.785 0.052
F 0.788 0.228 0.203

Values from the calculation:
* E_tot: -3.7784 eV per atom
* total magnetization: 1.0 Bohr magnetons per cell

=====

A geometry-optimized K2CoHF structure, computed with PBE with a Hubbard U.

abc: 5.729 5.729 3.526
angles: 90.00 90.00 90.00
Positions (direct):
K 0.000 0.500 0.000
K 0.500 0.000 0.000
Co 0.000 0.000 0.500
H 0.500 0.500 0.000
F 0.500 0.500 0.500

Values from the calculation:
* E_tot: -2.4925 eV per atom
* total magnetization: 2.0 Bohr magnetons per cell

=====

A geometry-optimized Li2CoHF6 structure, computed with PBE with a Hubbard U.

abc: 4.365 5.249 8.569
angles: 90.00 90.00 90.00
Positions (direct):
Li 0.000 0.000 0.188
Li 0.000 0.000 0.812
Li 0.500 0.500 0.312
Li 0.500 0.500 0.688
Co 0.000 0.500 0.000
Co 0.500 0.000 0.500
H 0.000 0.500 0.500
H 0.500 0.000 0.000
F 0.216 0.342 0.154
F 0.216 0.342 0.846
F 0.225 0.379 0.500
F 0.275 0.879 0.000
F 0.284 0.842 0.346
F 0.284 0.842 0.654
F 0.716 0.158 0.346
F 0.716 0.158 0.654
F 0.725 0.121 0.000
F 0.775 0.621 0.500
F 0.784 0.658 0.154
F 0.784 0.658 0.846

Values from the calculation:
* E_tot: -4.5756 eV per atom
* total magnetization: 4.0 Bohr magnetons per cell

=====

A geometry-optimized LiCoHF2 structure, computed with PBE with a Hubbard U.

abc: 4.135 4.135 2.904
angles: 90.00 90.00 90.00
Positions (direct):
Li 0.000 0.000 0.000
Co 0.500 0.500 0.000
H 0.000 0.000 0.500
F 0.000 0.500 0.500
F 0.500 0.000 0.500

Values from the calculation:
* E_tot: -3.3520 eV per atom
* total magnetization: 2.9 Bohr magnetons per cell

=====

A geometry-optimized MgCoHF2 structure, computed with PBE with a Hubbard U.

abc: 4.571 4.571 3.052
angles: 90.00 90.00 90.00
Positions (direct):
Mg 0.000 0.000 0.000
Co 0.500 0.500 0.000
H 0.000 0.000 0.500
F 0.000 0.500 0.500
F 0.500 0.000 0.500

Values from the calculation:
* E_tot: -3.3319 eV per atom
* total magnetization: 2.6 Bohr magnetons per cell